w:
# TlAgHgPb

TlAgHgPb after structural relaxation (PBE-GGA, Alexandria via LeMat-Bulk).

a b c (Å): 3.3707 3.3707 9.2056
angles (deg): 90.00 90.00 90.00
With the nearest neighbours (Å) after each atom.
Sites, in units of the cell vectors:
Hg (0.5000, 0.5000, 0.3558)  4 Ag 3.01
Tl (0.0000, 0.0000, 0.0944)  4 Tl 3.37, 4 Hg 3.39, 4 Pb 3.75
Pb (0.5000, 0.5000, 0.7794)  4 Ag 3.15, 4 Pb 3.37
Ag (0.0000, 0.0000, 0.5551)  4 Hg 3.01, 4 Pb 3.15

Results
N(E_F) in states/eV/f.u.: 0.8
Space group: P4mm (99)
Calculated volume in A^3/atom: 26.1

x:
# TlAgHgPb

TlAgHgPb after structural relaxation (PBE-GGA, Alexandria via LeMat-Bulk).

a b c (Å): 5.2998 5.2998 5.2998
angles (deg): 60.00 60.00 60.00
With the nearest neighbours (Å) after each atom.
Sites, in units of the cell vectors:
Hg (0.7500, 0.7500, 0.7500)  4 Tl 3.25, 4 Pb 3.25
Ag (0.2500, 0.2500, 0.2500)  4 Pb 3.25, 4 Tl 3.25
Pb (0.0000, 0.0000, 0.0000)  4 Hg 3.25, 4 Ag 3.25
Tl (0.5000, 0.5000, 0.5000)  4 Ag 3.25, 4 Hg 3.25

Results
N(E_F) in states/eV/f.u.: 2.9
Space group: F-43m (216)
Calculated volume in A^3/atom: 26.3

Q: What are the energies relative to the best structure? A: w 0.000; x 0.068, in eV/atom.

w:
# AgHgPd4

AgHgPd4 after structural relaxation (PBE-GGA, Alexandria via LeMat-Bulk).

a b c (Å): 5.8224 5.2466 7.8062
angles (deg): 90.00 90.00 60.46
With the nearest neighbours (Å) after each atom.
Sites, in units of the cell vectors:
Pd (0.2522, 0.9997, 0.4327)  2 Ag 2.78-2.84, 6 Pd 2.78-3.07, 2 Hg 2.79-2.85
Pd (0.7478, 0.0003, 0.5673)  2 Ag 2.78-2.84, 6 Pd 2.78-3.07, 2 Hg 2.79-2.85
Pd (0.7478, 0.5003, 0.0673)  2 Ag 2.78-2.84, 6 Pd 2.78-3.07, 2 Hg 2.79-2.85
Pd (0.7478, 0.0003, 0.9327)  2 Ag 2.78-2.84, 6 Pd 2.78-3.07, 2 Hg 2.79-2.85
Pd (0.2522, 0.9997, 0.0673)  2 Ag 2.78-2.84, 6 Pd 2.78-3.07, 2 Hg 2.79-2.85
Pd (0.7478, 0.5003, 0.4327)  2 Ag 2.78-2.84, 6 Pd 2.78-3.07, 2 Hg 2.79-2.85
Pd (0.2522, 0.4997, 0.9327)  2 Ag 2.78-2.84, 6 Pd 2.78-3.07, 2 Hg 2.79-2.85
Pd (0.2522, 0.4997, 0.5673)  2 Ag 2.78-2.84, 6 Pd 2.78-3.07, 2 Hg 2.79-2.85
Hg (0.0000, 0.7500, 0.2500)  8 Pd 2.79-2.85, 2 Ag 2.80
Hg (0.0000, 0.2500, 0.7500)  8 Pd 2.79-2.85, 2 Ag 2.80
Ag (0.5000, 0.7500, 0.7500)  8 Pd 2.78-2.84, 2 Hg 2.80
Ag (0.5000, 0.2500, 0.2500)  8 Pd 2.78-2.84, 2 Hg 2.80

Results
N(E_F) in states/eV/f.u.: 3.4
Space group: C2/m (12)
Calculated volume in A^3/atom: 17.3

x:
# AgHgPd4

AgHgPd4 after structural relaxation (PBE-GGA, Alexandria via LeMat-Bulk).

a b c (Å): 4.0929 4.0721 6.3210
angles (deg): 90.00 108.89 90.00
With the nearest neighbours (Å) after each atom.
Sites, in units of the cell vectors:
Pd (0.8296, 0.5000, 0.6593)  8 Pd 2.79-2.89, 2 Ag 2.88, 2 Hg 2.89
Pd (0.6699, 0.0000, 0.3398)  8 Pd 2.79-2.89, 2 Hg 2.88, 2 Ag 2.88
Pd (0.1704, 0.5000, 0.3407)  8 Pd 2.79-2.89, 2 Ag 2.88, 2 Hg 2.89
Pd (0.3301, 0.0000, 0.6602)  8 Pd 2.79-2.89, 2 Hg 2.88, 2 Ag 2.88
Hg (0.5000, 0.5000, 0.0000)  8 Pd 2.88-2.89, 4 Ag 2.89
Ag (0.0000, 0.0000, 0.0000)  8 Pd 2.88, 4 Hg 2.89

Results
N(E_F) in states/eV/f.u.: 3.6
Space group: Cmmm (65)
Calculated volume in A^3/atom: 16.6

y:
# AgHgPd4

AgHgPd4 after structural relaxation (PBE-GGA, Alexandria via LeMat-Bulk).

a b c (Å): 5.3034 5.3034 5.3034
angles (deg): 60.00 60.00 60.00
With the nearest neighbours (Å) after each atom.
Sites, in units of the cell vectors:
Pd (0.6250, 0.6250, 0.1250)  6 Pd 2.65
Pd (0.6250, 0.1250, 0.6250)  6 Pd 2.65
Pd (0.1250, 0.6250, 0.6250)  6 Pd 2.65
Pd (0.6250, 0.6250, 0.6250)  6 Pd 2.65
Ag (0.0000, 0.0000, 0.0000)  12 Pd 3.11, 4 Hg 3.25
Hg (0.2500, 0.2500, 0.2500)  12 Pd 3.11, 4 Ag 3.25

Results
N(E_F) in states/eV/f.u.: 9.6
Space group: F-43m (216)
Calculated volume in A^3/atom: 17.6

Q: What are the energies relative to the best structure? A: w 0.110; x 0.000; y 0.156, in eV/atom.